Record 1
Below is an optimized crystal structure of NaMn2Al2, with properties calculated at the PBE level.

Output
Spin magnetization   0.00 Bohr magnetons per cell
Electronic total energy   -5.279 eV per atom
Distance to the lowest polymorph of the same formula   0.046 eV per atom

Lattice parameters (Å, degrees): 7.635 7.635 2.593 90.00 90.00 90.00
Fractional coordinates of all 10 atoms:
1 Na 0.000 0.000 0.000
2 Na 0.500 0.500 0.000
3 Mn 0.097 0.403 0.500
4 Mn 0.403 0.903 0.500
5 Mn 0.597 0.097 0.500
6 Mn 0.903 0.597 0.500
7 Al 0.186 0.686 0.000
8 Al 0.314 0.186 0.000
9 Al 0.686 0.814 0.000
10 Al 0.814 0.314 0.000



Record 2
Below is an optimized crystal structure of Tb2Au5F21, with properties calculated at the PBE level.

Output
Spin magnetization   0.00 Bohr magnetons per cell
Formation energy from raw total energies   -1.9121 eV/atom
Electronic total energy   -4.232 eV per atom

Lattice parameters (Å, degrees): 8.104 9.239 12.128 89.12 89.14 89.18
Fractional coordinates of all 56 atoms:
1 Tb 0.164 0.184 0.001
2 Tb 0.169 0.316 0.496
3 Tb 0.831 0.684 0.504
4 Tb 0.836 0.816 0.999
5 Au 0.061 0.510 0.792
6 Au 0.062 0.986 0.705
7 Au 0.328 0.720 0.405
8 Au 0.335 0.778 0.093
9 Au 0.484 0.749 0.753
10 Au 0.516 0.251 0.247
11 Au 0.665 0.222 0.907
12 Au 0.672 0.280 0.595
13 Au 0.938 0.014 0.295
14 Au 0.939 0.490 0.208
15 F 0.000 0.000 0.000
16 F 0.000 0.500 0.500
17 F 0.022 0.129 0.418
18 F 0.047 0.387 0.086
19 F 0.078 0.121 0.189
20 F 0.084 0.383 0.311
21 F 0.086 0.736 0.390
22 F 0.094 0.748 0.092
23 F 0.164 0.102 0.818
24 F 0.184 0.407 0.675
25 F 0.200 0.094 0.598
26 F 0.200 0.400 0.896
27 F 0.308 0.728 0.862
28 F 0.317 0.757 0.639
29 F 0.323 0.979 0.031
30 F 0.327 0.513 0.455
31 F 0.337 0.917 0.348
32 F 0.343 0.224 0.363
33 F 0.354 0.261 0.126
34 F 0.354 0.588 0.162
35 F 0.424 0.199 0.903
36 F 0.430 0.285 0.580
37 F 0.570 0.715 0.420
38 F 0.576 0.801 0.097
39 F 0.646 0.412 0.838
40 F 0.646 0.739 0.874
41 F 0.657 0.776 0.637
42 F 0.663 0.083 0.652
43 F 0.673 0.487 0.545
44 F 0.677 0.021 0.969
45 F 0.683 0.243 0.361
46 F 0.692 0.272 0.138
47 F 0.800 0.600 0.104
48 F 0.800 0.906 0.402
49 F 0.816 0.593 0.325
50 F 0.836 0.898 0.182
51 F 0.906 0.252 0.908
52 F 0.914 0.264 0.610
53 F 0.916 0.617 0.689
54 F 0.922 0.879 0.811
55 F 0.953 0.613 0.914
56 F 0.978 0.871 0.582



Record 3
Below is an optimized crystal structure of PmPrNd, with properties calculated at the PBE level.

Output
Spin magnetization   0.00 Bohr magnetons per cell
Electronic total energy   -4.751 eV per atom
Distance to the lowest polymorph of the same formula   0.005 eV per atom

Lattice parameters (Å, degrees): 8.250 8.250 8.250 154.21 154.21 36.79
Fractional coordinates of all 3 atoms:
1 Pm 0.000 0.000 0.000
2 Pr 0.333 0.333 0.000
3 Nd 0.665 0.665 0.000



Record 4
Below is an optimized crystal structure of Sc2NbSi2, with properties calculated at the PBE level.

Output
Spin magnetization   0.00 Bohr magnetons per cell
Formation energy from raw total energies   0.0231 eV/atom
Electronic total energy   -6.693 eV per atom
Distance to the lowest polymorph of the same formula   0.713 eV per atom

Lattice parameters (Å, degrees): 8.957 8.957 8.957 158.31 158.31 30.86
Fractional coordinates of all 5 atoms:
1 Sc 0.115 0.115 0.000
2 Sc 0.885 0.885 0.000
3 Nb 0.500 0.500 0.000
4 Si 0.250 0.750 0.500
5 Si 0.750 0.250 0.500



Record 5
Below is an optimized crystal structure of Nd2Ho3Se8, with properties calculated at the PBE level.

Output
Spin magnetization   0.00 Bohr magnetons per cell
Formation energy from raw total energies   -1.7281 eV/atom
Electronic total energy   -5.662 eV per atom

Lattice parameters (Å, degrees): 8.340 8.340 7.042 106.79 106.79 59.66
Fractional coordinates of all 13 atoms:
1 Nd 0.240 0.240 0.162
2 Nd 0.760 0.760 0.838
3 Ho 0.239 0.761 0.500
4 Ho 0.500 0.500 0.000
5 Ho 0.761 0.239 0.500
6 Se 0.121 0.121 0.427
7 Se 0.144 0.617 0.089
8 Se 0.383 0.856 0.911
9 Se 0.385 0.385 0.580
10 Se 0.615 0.615 0.420
11 Se 0.617 0.144 0.089
12 Se 0.856 0.383 0.911
13 Se 0.879 0.879 0.573



Record 6
Below is an optimized crystal structure of Zr2VIr, with properties calculated at the PBE level.

Output
Spin magnetization   0.00 Bohr magnetons per cell
Electronic total energy   -9.122 eV per atom
Distance to the lowest polymorph of the same formula   0.101 eV per atom

Lattice parameters (Å, degrees): 5.569 5.569 5.569 145.00 132.69 60.19
Fractional coordinates of all 4 atoms:
1 Zr 0.000 0.000 0.000
2 Zr 0.736 0.236 0.500
3 V 0.262 0.762 0.500
4 Ir 0.488 0.488 0.000



Record 7
Below is an optimized crystal structure of SiPbC3, with properties calculated at the PBE level.

Output
Spin magnetization   1.59 Bohr magnetons per cell
Formation energy from raw total energies   3.5889 eV/atom
Electronic total energy   -3.772 eV per atom
Distance to the lowest polymorph of the same formula   1.616 eV per atom

Lattice parameters (Å, degrees): 4.460 4.460 4.460 90.00 90.00 90.00
Fractional coordinates of all 5 atoms:
1 Si 0.000 0.000 0.000
2 Pb 0.500 0.500 0.500
3 C 0.000 0.500 0.500
4 C 0.500 0.000 0.500
5 C 0.500 0.500 0.000



Record 8
Below is an optimized crystal structure of K4SrAl, with properties calculated at the PBE level.

Output
Spin magnetization   0.00 Bohr magnetons per cell
Electronic total energy   -1.229 eV per atom

Lattice parameters (Å, degrees): 7.642 7.642 7.642 60.00 60.00 60.00
Fractional coordinates of all 6 atoms:
1 K 0.377 0.377 0.377
2 K 0.377 0.377 0.870
3 K 0.377 0.870 0.377
4 K 0.870 0.377 0.377
5 Sr 0.000 0.000 0.000
6 Al 0.750 0.750 0.750